VASP calculation (PBE-GGA) on La6PrTm5 after structural relaxation.

Output
Space-group type = No. 71
Final energy = -56.42 eV/cell
N(E_F) = 17.4 states/eV/cell
M_tot = 0.00 Bohr magnetons per cell

Cell lengths 9.6418, 9.6418, 9.6418 Å; angles 148.53, 117.93, 71.25 degrees
Atoms (fractional coordinates):
1 La 0.0808 0.3331 0.7477
2 La 0.2454 0.0000 0.2454
3 La 0.4146 0.6669 0.7477
4 La 0.5854 0.3331 0.2523
5 La 0.7546 0.0000 0.7546
6 La 0.9192 0.6669 0.2523
7 Pr 0.5000 0.5000 0.0000
8 Tm 0.0000 0.5000 0.5000
9 Tm 0.1680 0.1680 0.0000
10 Tm 0.3328 0.8328 0.5000
11 Tm 0.6672 0.1672 0.5000
12 Tm 0.8320 0.8320 0.0000

---

VASP calculation (PBE-GGA) on La12PrTm7 after structural relaxation.

Output
Space-group type = No. 166
Final energy = -93.48 eV/cell
N(E_F) = 35.0 states/eV/cell
M_tot = 0.00 Bohr magnetons per cell

Cell lengths 8.9690, 8.9690, 8.9690 Å; angles 98.83, 98.83, 98.83 degrees
Atoms (fractional coordinates):
1 La 0.0000 0.2614 0.7386
2 La 0.0000 0.7386 0.2614
3 La 0.1445 0.1445 0.4122
4 La 0.1445 0.4122 0.1445
5 La 0.2614 0.0000 0.7386
6 La 0.2614 0.7386 0.0000
7 La 0.4122 0.1445 0.1445
8 La 0.5878 0.8555 0.8555
9 La 0.7386 0.0000 0.2614
10 La 0.7386 0.2614 0.0000
11 La 0.8555 0.5878 0.8555
12 La 0.8555 0.8555 0.5878
13 Pr 0.5000 0.5000 0.5000
14 Tm 0.0000 0.0000 0.0000
15 Tm 0.1644 0.5964 0.5964
16 Tm 0.4036 0.4036 0.8356
17 Tm 0.4036 0.8356 0.4036
18 Tm 0.5964 0.1644 0.5964
19 Tm 0.5964 0.5964 0.1644
20 Tm 0.8356 0.4036 0.4036

---

VASP calculation (PBE-GGA) on La3Pr6Tm2 after structural relaxation.

Output
Space-group type = No. 2
Final energy = -50.79 eV/cell
N(E_F) = 17.6 states/eV/cell
M_tot = 0.00 Bohr magnetons per cell

Cell lengths 6.9244, 7.0875, 8.6835 Å; angles 76.95, 76.62, 77.06 degrees
Atoms (fractional coordinates):
1 La 0.0000 0.0000 0.0000
2 La 0.3345 0.1539 0.6348
3 La 0.6655 0.8461 0.3652
4 Pr 0.1770 0.9835 0.3413
5 Pr 0.2757 0.6433 0.7113
6 Pr 0.4521 0.2511 0.0095
7 Pr 0.5479 0.7489 0.9905
8 Pr 0.7243 0.3567 0.2887
9 Pr 0.8230 0.0165 0.6587
10 Tm 0.1682 0.5210 0.3103
11 Tm 0.8318 0.4790 0.6897

---

VASP calculation (PBE-GGA) on La8PrTm5 after structural relaxation.

Output
Space-group type = No. 1
Final energy = -64.39 eV/cell
N(E_F) = 19.3 states/eV/cell
M_tot = 0.00 Bohr magnetons per cell

Cell lengths 8.6307, 8.6698, 8.7376 Å; angles 112.86, 98.63, 116.89 degrees
Atoms (fractional coordinates):
1 La 0.0000 0.0000 0.0000
2 La 0.0144 0.4085 0.8093
3 La 0.1639 0.1322 0.5051
4 La 0.2133 0.5133 0.2957
5 La 0.3360 0.8648 0.1268
6 La 0.4856 0.6528 0.7543
7 La 0.5990 0.4061 0.3704
8 La 0.6244 0.1322 0.9579
9 Pr 0.5336 0.1322 0.5908
10 Tm 0.1122 0.7766 0.6427
11 Tm 0.3943 0.3678 0.9657
12 Tm 0.7452 0.8769 0.5309
13 Tm 0.8284 0.1733 0.3425
14 Tm 0.8831 0.6500 0.1776

---

VASP calculation (PBE-GGA) on La8Pr2Tm3 after structural relaxation.

Output
Space-group type = No. 2
Final energy = -60.19 eV/cell
N(E_F) = 17.1 states/eV/cell
M_tot = 0.00 Bohr magnetons per cell

Cell lengths 5.7978, 7.7555, 11.1430 Å; angles 110.36, 90.01, 90.00 degrees
Atoms (fractional coordinates):
1 La 0.9997 0.0968 0.2956
2 La 0.0003 0.3009 0.7044
3 La 0.9997 0.6991 0.2956
4 La 0.0003 0.9032 0.7044
5 La 0.5005 0.1725 0.8448
6 La 0.5000 0.3713 0.2428
7 La 0.5000 0.6287 0.7572
8 La 0.4995 0.8275 0.1552
9 Pr 0.0004 0.2607 0.0204
10 Pr 0.9996 0.7393 0.9796
11 Tm 0.0000 0.5000 0.5000
12 Tm 0.5000 0.2172 0.5000
13 Tm 0.5000 0.7828 0.5000

---

VASP calculation (PBE-GGA) on La2Pr2YTm after structural relaxation.

Output
Space-group type = No. 51
Final energy = -60.10 eV/cell
N(E_F) = 18.4 states/eV/cell
M_tot = 0.00 Bohr magnetons per cell

Cell lengths 7.1634, 5.7697, 10.0323 Å; angles 90.00, 90.00, 90.00 degrees
Atoms (fractional coordinates):
1 La 0.0000 0.0000 0.0000
2 La 0.2500 0.5000 0.1753
3 La 0.5000 0.0000 0.0000
4 La 0.7500 0.5000 0.8247
5 Pr 0.2500 0.0000 0.3313
6 Pr 0.2500 0.5000 0.8349
7 Pr 0.7500 0.0000 0.6687
8 Pr 0.7500 0.5000 0.1651
9 Y 0.0000 0.5000 0.5000
10 Y 0.5000 0.5000 0.5000
11 Tm 0.2500 0.0000 0.6565
12 Tm 0.7500 0.0000 0.3435